--- P ---
RbNdBi2: optimized geometry, PBE-GGA.

Cell and atoms, written as POSCAR:
```
RbNdBi2
1.0
4.643 0.000 0.000
2.322 4.021 0.000
2.322 1.340 9.059
Bi Nd Rb
2 1 1
Direct
0.734 0.734 0.799
0.266 0.266 0.201
0.000 0.000 0.000
0.500 0.500 0.500
```

Calculated values
Space-group type   No. 166
Fermi-level density of states   3.1 states/eV/cell
Crystal system   trigonal

--- Q ---
RbNdBi2: optimized geometry, PBE-GGA.

Cell and atoms, written as POSCAR:
```
RbNdBi2
1.0
-3.430 2.161 1.550
-1.710 0.146 -3.986
-3.804 -7.024 1.374
Bi Nd Rb
2 1 1
Direct
0.000 0.000 0.191
0.000 0.000 0.809
0.500 0.500 0.000
0.500 0.500 0.500
```

Calculated values
Space-group type   No. 123
Fermi-level density of states   2.5 states/eV/cell
Crystal system   tetragonal

Stability comparison, relative energies in eV/atom: P 0.161; Q 0.000

--- P ---
Nd3BiRu: optimized geometry, PBE-GGA.

Cell and atoms, written as POSCAR:
```
Nd3BiRu
1.0
-5.025 -3.091 -3.777
6.572 -0.554 -8.290
-1.517 -7.035 7.775
Nd Bi Ru
12 4 4
Direct
0.006 0.802 0.948
0.506 0.698 0.552
0.995 0.698 0.552
0.750 0.921 0.328
0.494 0.302 0.448
0.505 0.198 0.052
0.495 0.802 0.948
0.250 0.579 0.172
0.250 0.079 0.672
0.994 0.198 0.052
0.005 0.302 0.448
0.750 0.421 0.828
0.250 0.947 0.303
0.250 0.447 0.803
0.750 0.053 0.697
0.750 0.553 0.197
0.750 0.073 0.177
0.250 0.427 0.323
0.250 0.927 0.823
0.750 0.573 0.677
```

Calculated values
Space-group type   No. 59
Fermi-level density of states   12.8 states/eV/cell
Crystal system   orthorhombic

--- Q ---
Nd3BiRu: optimized geometry, PBE-GGA.

Cell and atoms, written as POSCAR:
```
Nd3BiRu
1.0
-1.418 4.222 -3.144
-4.124 1.133 3.381
3.272 3.258 2.899
Nd Ru Bi
3 1 1
Direct
0.000 0.000 0.500
0.000 0.500 0.000
0.500 0.000 0.000
0.000 0.000 0.000
0.500 0.500 0.500
```

Calculated values
Space-group type   No. 221
Fermi-level density of states   4.7 states/eV/cell
Crystal system   cubic

Stability comparison, relative energies in eV/atom: P 0.000; Q 0.136

--- P ---
Nd2BiSb: optimized geometry, PBE-GGA.

Cell and atoms, written as POSCAR:
```
Nd2BiSb
1.0
4.531 0.000 0.000
2.265 3.924 0.000
2.265 1.308 7.745
Bi Sb Nd
1 1 2
Direct
0.499 0.499 0.503
0.668 0.668 0.996
0.079 0.079 0.762
0.254 0.254 0.238
```

Calculated values
Space-group type   No. 160
Fermi-level density of states   0.4 states/eV/cell
Crystal system   trigonal

--- Q ---
Nd2BiSb: optimized geometry, PBE-GGA.

Cell and atoms, written as POSCAR:
```
Nd2BiSb
1.0
4.567 -0.002 -0.005
-2.284 3.955 0.005
-2.280 -1.320 7.458
Bi Sb Nd
1 1 2
Direct
0.000 0.000 0.000
0.000 0.500 0.500
0.504 0.752 0.256
0.496 0.248 0.744
```

Calculated values
Space-group type   No. 166
Fermi-level density of states   0.7 states/eV/cell
Crystal system   trigonal

Stability comparison, relative energies in eV/atom: P 0.105; Q 0.000

--- P ---
NdThBiSb: optimized geometry, PBE-GGA.

Cell and atoms, written as POSCAR:
```
NdThBiSb
1.0
-0.081 2.623 3.724
-3.984 1.204 1.852
-1.200 -4.813 6.150
Sb Th Nd Bi
1 1 1 1
Direct
0.194 0.194 0.419
0.447 0.447 0.660
0.941 0.941 0.176
0.694 0.694 0.917
```

Calculated values
Space-group type   No. 160
Fermi-level density of states   2.1 states/eV/cell
Crystal system   trigonal

--- Q ---
NdThBiSb: optimized geometry, PBE-GGA.

Cell and atoms, written as POSCAR:
```
NdThBiSb
1.0
5.540 0.000 0.000
2.770 4.798 0.000
2.770 1.599 4.524
Sb Nd Th Bi
1 1 1 1
Direct
0.000 0.000 0.000
0.250 0.250 0.250
0.750 0.750 0.750
0.500 0.500 0.500
```

Calculated values
Space-group type   No. 216
Fermi-level density of states   4.4 states/eV/cell
Crystal system   cubic

Stability comparison, relative energies in eV/atom: P 0.000; Q 0.203

--- P ---
Nd2ScBi3: optimized geometry, PBE-GGA.

Cell and atoms, written as POSCAR:
```
Nd2ScBi3
1.0
-3.423 -2.815 -0.780
0.222 -1.959 6.099
-2.760 7.216 -0.951
Bi Sc Nd
3 1 2
Direct
0.346 0.346 0.692
0.000 0.000 0.000
0.654 0.654 0.308
0.000 0.500 0.000
0.671 0.171 0.341
0.329 0.829 0.659
```

Calculated values
Space-group type   No. 71
Fermi-level density of states   1.4 states/eV/cell
Crystal system   orthorhombic

--- Q ---
Nd2ScBi3: optimized geometry, PBE-GGA.

Cell and atoms, written as POSCAR:
```
Nd2ScBi3
1.0
-2.046 7.299 -1.862
1.314 -5.248 -5.627
-6.829 -2.631 2.672
Bi Nd Sc
6 4 2
Direct
0.254 0.242 0.763
0.758 0.746 0.237
0.412 0.092 0.237
0.603 0.937 0.770
0.908 0.588 0.763
0.063 0.397 0.230
0.833 0.167 0.500
0.495 0.505 0.500
0.333 0.667 0.000
0.172 0.828 0.500
0.002 0.998 0.000
0.665 0.335 0.000
```

Calculated values
Space-group type   No. 12
Fermi-level density of states   2.2 states/eV/cell
Crystal system   monoclinic

Stability comparison, relative energies in eV/atom: P 0.009; Q 0.000

--- P ---
NdSc2Bi: optimized geometry, PBE-GGA.

Cell and atoms, written as POSCAR:
```
NdSc2Bi
1.0
3.404 0.000 0.000
1.702 2.948 0.000
1.702 0.983 11.428
Sc Nd Bi
2 1 1
Direct
0.094 0.094 0.718
0.906 0.906 0.282
0.000 0.000 0.000
0.500 0.500 0.500
```

Calculated values
Space-group type   No. 166
Fermi-level density of states   6.9 states/eV/cell
Crystal system   trigonal

--- Q ---
NdSc2Bi: optimized geometry, PBE-GGA.

Cell and atoms, written as POSCAR:
```
NdSc2Bi
1.0
-0.556 3.312 -1.940
-3.391 -1.342 -1.320
-3.322 2.782 5.702
Nd Bi Sc
1 1 2
Direct
0.500 0.500 0.000
0.500 0.500 0.500
0.000 0.000 0.280
0.000 0.000 0.720
```

Calculated values
Space-group type   No. 123
Fermi-level density of states   5.1 states/eV/cell
Crystal system   tetragonal

Stability comparison, relative energies in eV/atom: P 0.403; Q 0.000